a:
A plane-wave DFT calculation with PBE was carried out for crystalline NbMo2H at its relaxed geometry.

a = 2.8921 Å, b = 2.8921 Å, c = 22.5617 Å
α = 90.00°, β = 90.00°, γ = 120.00°
Space group R-3m (No. 166, hexagonal axes)
Symmetry-distinct sites (fractional):
1 Nb 0.0000 0.0000 0.0000
2 Mo 0.0000 0.0000 0.1147
3 H 0.0000 0.0000 0.5000

Computed properties:
Fermi-level density of states: 3.269 states/eV/f.u.
ρ: 8.71 g/cm3

=====

b:
A plane-wave DFT calculation with PBE was carried out for crystalline NbMo2H at its relaxed geometry.

a = 6.169 Å, b = 6.169 Å, c = 6.169 Å
α = 90.00°, β = 90.00°, γ = 90.00°
Space group Fm-3m (No. 225)
Symmetry-distinct sites (fractional):
1 Nb 0.000 0.000 0.000
2 Mo 0.250 0.250 0.250
3 H 0.000 0.000 0.500

Computed properties:
Fermi-level density of states: 5.291 states/eV/f.u.
ρ: 8.08 g/cm3

=====

c:
A plane-wave DFT calculation with PBE was carried out for crystalline NbMo2H at its relaxed geometry.

a = 5.456 Å, b = 5.456 Å, c = 7.786 Å
α = 90.00°, β = 90.00°, γ = 90.00°
Space group I4_1/amd (No. 141, origin choice 2)
Symmetry-distinct sites (fractional):
1 Nb 0.000 0.250 0.375
2 Mo 0.000 0.000 0.000
3 H 0.000 0.250 0.875

Computed properties:
Fermi-level density of states: 4.358 states/eV/f.u.
ρ: 8.19 g/cm3

=====

Which of them is least stable? Easy: b.

=====

a:
A plane-wave DFT calculation with PBE was carried out for crystalline NbMo2HOs at its relaxed geometry.

a = 4.003 Å, b = 4.003 Å, c = 4.144 Å
α = 90.00°, β = 90.00°, γ = 90.00°
Space group P4/mmm (No. 123)
Symmetry-distinct sites (fractional):
1 Nb 0.000 0.000 0.000
2 Mo 0.000 0.500 0.500
3 H 0.000 0.000 0.500
4 Os 0.500 0.500 0.000

Computed properties:
Fermi-level density of states: 4.562 states/eV/f.u.
ρ: 11.91 g/cm3

=====

b:
A plane-wave DFT calculation with PBE was carried out for crystalline NbMo2HOs at its relaxed geometry.

a = 4.088 Å, b = 4.088 Å, c = 3.975 Å
α = 90.00°, β = 90.00°, γ = 90.00°
Space group P4/mmm (No. 123)
Symmetry-distinct sites (fractional):
1 Nb 0.000 0.000 0.000
2 Mo 0.000 0.500 0.500
3 H 0.500 0.500 0.500
4 Os 0.500 0.500 0.000

Computed properties:
Fermi-level density of states: 4.995 states/eV/f.u.
ρ: 11.90 g/cm3

=====

Which of them is least stable? Easy: b.

=====

a:
A plane-wave DFT calculation with PBE was carried out for crystalline Nb2MoHPt at its relaxed geometry.

a = 4.234 Å, b = 4.234 Å, c = 3.876 Å
α = 90.00°, β = 90.00°, γ = 90.00°
Space group P4/mmm (No. 123)
Symmetry-distinct sites (fractional):
1 Nb 0.000 0.500 0.000
2 Mo 0.000 0.000 0.500
3 H 0.000 0.000 0.000
4 Pt 0.500 0.500 0.500

Computed properties:
Fermi-level density of states: 4.633 states/eV/f.u.
ρ: 11.42 g/cm3

=====

b:
A plane-wave DFT calculation with PBE was carried out for crystalline Nb2MoHPt at its relaxed geometry.

a = 4.331 Å, b = 4.331 Å, c = 3.732 Å
α = 90.00°, β = 90.00°, γ = 90.00°
Space group P4/mmm (No. 123)
Symmetry-distinct sites (fractional):
1 Nb 0.000 0.500 0.000
2 Mo 0.000 0.000 0.500
3 H 0.500 0.500 0.000
4 Pt 0.500 0.500 0.500

Computed properties:
Fermi-level density of states: 4.602 states/eV/f.u.
ρ: 11.34 g/cm3

=====

Which of them is least stable? Easy: b.

=====

a:
A plane-wave DFT calculation with PBE was carried out for crystalline NbMo2HPt at its relaxed geometry.

a = 4.018 Å, b = 4.018 Å, c = 4.140 Å
α = 90.00°, β = 90.00°, γ = 90.00°
Space group P4/mmm (No. 123)
Symmetry-distinct sites (fractional):
1 Nb 0.000 0.000 0.000
2 Mo 0.000 0.500 0.500
3 H 0.000 0.000 0.500
4 Pt 0.500 0.500 0.000

Computed properties:
Fermi-level density of states: 5.232 states/eV/f.u.
ρ: 11.95 g/cm3

=====

b:
A plane-wave DFT calculation with PBE was carried out for crystalline NbMo2HPt at its relaxed geometry.

a = 4.035 Å, b = 4.035 Å, c = 4.117 Å
α = 90.00°, β = 90.00°, γ = 90.00°
Space group P4/mmm (No. 123)
Symmetry-distinct sites (fractional):
1 Nb 0.000 0.000 0.000
2 Mo 0.000 0.500 0.500
3 H 0.500 0.500 0.500
4 Pt 0.500 0.500 0.000

Computed properties:
Fermi-level density of states: 5.620 states/eV/f.u.
ρ: 11.91 g/cm3

=====

Which of them is least stable? Easy: b.